Crystalline Zr2AlTe2 at its relaxed geometry, computed with PBE-GGA.

```
Zr2AlTe2
1.0
5.087 0.000 0.000
0.000 5.087 0.000
2.544 2.544 5.712
Al Zr Te
1 2 2
Direct
0.000 0.000 0.000
0.627 0.627 0.746
0.373 0.373 0.254
0.750 0.250 0.500
0.250 0.750 0.500
```

## Properties
N(E_F), states/eV/f.u.: 5.78
Symmetry: I4/mmm
Offset from the most stable computed form, eV/f.u.: 2.843
E, eV per cell: -26.6
Formation energy (no corrections), meV/atom: 101
Total moment, Bohr magnetons per cell: 0.0